Entry 1:
Ge2Pt2Se | PBE | optimized geometry

extended XYZ file:
```
5
Lattice="-2.7580 2.7884 -1.0737 -2.0350 -2.8229 -2.1035 -5.4981 -1.2781 3.1041" Properties=species:S:1:pos:R:3 pbc="T T T"
Ge -5.3263 0.7465 0.2209
Ge -4.9648 -2.0591 -0.2940
Se 0.0000 0.0000 0.0000
Pt -3.1365 -0.3181 -0.4690
Pt -7.1546 -0.9946 0.3959
```

Total magnetic moment, μB per formula unit: 0.000
Energy above the lowest structure with this stoichiometry, eV per formula unit: 0.169

=====

Entry 2:
Tb2FeSi3Ni12 | PBE | optimized geometry

extended XYZ file:
```
18
Lattice="-7.4066 4.6156 -1.7287 -6.1830 0.8960 -6.3339 -8.7107 -1.2705 -1.2884" Properties=species:S:1:pos:R:3 pbc="T T T"
Tb -14.4930 2.7563 -6.0772
Tb -7.8073 1.4848 -3.2737
Fe 0.0000 0.0000 0.0000
Si -3.7033 2.3078 -0.8643
Si -3.0915 0.4480 -3.1670
Si -4.3554 -0.6353 -0.6442
Ni -12.6614 1.2293 -4.3572
Ni -15.7139 4.6644 -7.9428
Ni -16.4605 1.2943 -7.6907
Ni -12.1363 3.5994 -4.5345
Ni -17.1612 3.4240 -5.0539
Ni -11.6436 2.1017 -6.3888
Ni -9.6389 3.0118 -4.9937
Ni -6.5864 -0.4233 -1.4082
Ni -5.8398 2.9468 -1.6603
Ni -10.1640 0.6417 -4.8164
Ni -5.1392 0.8171 -4.2970
Ni -10.6567 2.1394 -2.9621
```

Total magnetic moment, μB per formula unit: 4.081
Raw total energy, eV/atom: -5.82

=====

Question: Which of these has the lowest total magnetic moment?
Answer: Ge2Pt2Se

=====

Question: What is the total magnetic moment in the second record?
Answer: 4.081 μB per formula unit

=====

Question: Which of these has the highest total magnetic moment?
Answer: Tb2FeSi3Ni12